1.
KHg2BiAu | GGA-PBE | relaxed

Cell: 5.432 5.432 5.823 Å, 90.00 90.00 90.00°
Sites, in units of the cell vectors:
K1 0.500 0.500 0.500
Au1 0.000 0.000 0.000
Bi1 0.000 0.000 0.500
Hg1 0.000 0.500 0.000
Hg2 0.500 0.000 0.000

Summary:
Formation energy in eV per atom: -0.04
Volume in A^3/atom: 34.36
Space group: No. 123



2.
Hf3VTc | GGA-PBE | relaxed

Cell: 4.960 4.960 4.960 Å, 90.00 90.00 90.00°
Last column: magnetic moment on the atom in μB.
Sites, in units of the cell vectors:
Hf1 0.000 0.500 0.000  -0.07
Hf2 0.000 0.000 0.500  -0.07
Hf3 0.500 0.000 0.000  -0.07
Tc1 0.000 0.000 0.000  0.07
V1 0.500 0.500 0.500  2.69

Summary:
Formation energy in eV per atom: 0.78
Volume in A^3/atom: 24.40
Space group: No. 221



3.
LiAlCr | GGA-PBE | relaxed

Cell: 4.764 4.764 4.764 Å, 145.90 129.26 62.56°
Last column: magnetic moment on the atom in μB.
Sites, in units of the cell vectors:
Al1 0.993 0.993 0.000  -0.07
Cr1 0.342 0.342 0.000  3.32
Li1 0.665 0.665 0.000  -0.01

Summary:
Formation energy in eV per atom: 0.20
Volume in A^3/atom: 15.48
Space group: No. 44



4.
Pm4Cd2Ni | GGA-PBE | relaxed

Cell: 3.840 6.612 9.017 Å, 112.60 102.29 90.00°
Sites, in units of the cell vectors:
Pm1 0.912 0.256 0.825
Pm2 0.088 0.744 0.175
Pm3 0.610 0.273 0.220
Pm4 0.390 0.727 0.780
Cd1 0.745 0.797 0.489
Cd2 0.255 0.203 0.511
Ni1 0.000 0.000 0.000

Summary:
Formation energy in eV per atom: -0.14
Volume in A^3/atom: 29.38
Space group: No. 12



5.
GaRe2OsCl | GGA-PBE | relaxed

Cell: 4.717 4.444 4.717 Å, 90.00 90.00 90.00°
Last column: magnetic moment on the atom in μB.
Sites, in units of the cell vectors:
Re1 0.000 0.000 0.500  1.62
Re2 0.500 0.000 0.000  1.42
Os1 0.500 0.500 0.500  1.67
Ga1 0.000 0.000 0.000  0.01
Cl1 0.000 0.500 0.000  0.23

Summary:
Volume in A^3/atom: 19.78
Space group: No. 123
Final energy in eV per atom: -5.6772



6.
Sc3CuI3 | GGA-PBE | relaxed

Cell: 10.062 10.062 10.062 Å, 109.47 109.47 109.47°
Sites, in units of the cell vectors:
Sc1 0.949 0.474 0.224
Sc2 0.526 0.051 0.276
Sc3 0.250 0.026 0.474
Sc4 0.974 0.750 0.026
Sc5 0.974 0.224 0.449
Sc6 0.776 0.026 0.051
Sc7 0.724 0.449 0.474
Sc8 0.776 0.750 0.224
Sc9 0.551 0.276 0.026
Sc10 0.250 0.224 0.276
Sc11 0.724 0.276 0.750
Sc12 0.526 0.474 0.750
Cu1 0.750 0.500 0.000
Cu2 0.500 0.250 0.500
Cu3 0.750 0.250 0.250
Cu4 0.000 0.000 0.250
I1 0.246 0.996 0.993
I2 0.750 0.754 0.746
I3 0.493 0.746 0.996
I4 0.004 0.250 0.996
I5 0.254 0.746 0.250
I6 0.496 0.504 0.250
I7 0.246 0.250 0.754
I8 0.254 0.507 0.504
I9 0.750 0.996 0.504
I10 0.007 0.504 0.754
I11 0.004 0.754 0.507
I12 0.496 0.993 0.746

Summary:
Volume in A^3/atom: 28.01
Space group: No. 214
Final energy in eV per atom: -4.6696



7.
LaTiAlV | GGA-PBE | relaxed

Cell: 5.669 2.999 9.597 Å, 90.00 100.04 90.00°
Last column: magnetic moment on the atom in μB.
Sites, in units of the cell vectors:
V1 0.878 0.000 0.186  0.58
V2 0.878 0.500 0.686  0.58
Ti1 0.255 0.000 0.652  -0.30
Ti2 0.255 0.500 0.152  -0.30
Al1 0.071 0.000 0.914  0.00
Al2 0.071 0.500 0.414  0.00
La1 0.579 0.000 0.423  -0.02
La2 0.579 0.500 0.923  -0.02

Summary:
Formation energy in eV per atom: 0.15
Volume in A^3/atom: 20.08
Space group: No. 8



8.
LaSc2Sb | GGA-PBE | relaxed

Cell: 6.303 6.303 6.303 Å, 143.91 130.68 62.62°
Sites, in units of the cell vectors:
La1 0.750 0.250 0.500
Sb1 0.250 0.750 0.500
Sc1 0.033 0.033 0.000
Sc2 0.467 0.467 0.000

Summary:
Volume in A^3/atom: 27.65
Space group: No. 71
Final energy in eV per atom: -5.8585



9.
Ce4PuTl4 | GGA-PBE | relaxed

Cell: 6.691 8.703 8.703 Å, 90.00 90.00 90.00°
Last column: magnetic moment on the atom in μB.
Sites, in units of the cell vectors:
Ce1 0.115 0.267 0.939  0.16
Ce2 0.615 0.561 0.767  0.16
Ce3 0.115 0.733 0.061  0.16
Ce4 0.385 0.233 0.561  0.16
Ce5 0.885 0.939 0.733  0.16
Ce6 0.385 0.767 0.439  0.16
Ce7 0.615 0.439 0.233  0.16
Ce8 0.885 0.061 0.267  0.16
Pu1 0.000 0.000 0.000  3.49
Pu2 0.500 0.500 0.500  3.49
Tl1 0.882 0.714 0.426  0.00
Tl2 0.882 0.286 0.574  0.00
Tl3 0.382 0.926 0.786  0.00
Tl4 0.618 0.214 0.926  0.00
Tl5 0.618 0.786 0.074  0.00
Tl6 0.118 0.426 0.286  0.00
Tl7 0.118 0.574 0.714  0.00
Tl8 0.382 0.074 0.214  0.00

Summary:
Formation energy in eV per atom: -0.18
Volume in A^3/atom: 28.15
Space group: No. 86



10.
ReNi3Pt2 | GGA-PBE | relaxed

Cell: 5.293 4.605 7.023 Å, 90.95 112.14 90.00°
Sites, in units of the cell vectors:
Re1 0.880 0.250 0.000
Re2 0.120 0.750 0.000
Ni1 0.620 0.750 0.000
Ni2 0.380 0.250 0.000
Ni3 0.712 0.911 0.676
Ni4 0.036 0.589 0.324
Ni5 0.964 0.411 0.676
Ni6 0.288 0.089 0.324
Pt1 0.469 0.407 0.671
Pt2 0.202 0.907 0.671
Pt3 0.798 0.093 0.329
Pt4 0.531 0.593 0.329

Summary:
Formation energy in eV per atom: -0.08
Volume in A^3/atom: 13.21
Space group: No. 15



11.
Pu2In5Pd2Rh | GGA-PBE | relaxed

Cell: 3.124 11.736 11.736 Å, 90.00 90.00 90.00°
Last column: magnetic moment on the atom in μB.
Sites, in units of the cell vectors:
Pu1 0.000 0.680 0.180  5.60
Pu2 0.000 0.320 0.820  5.60
Pu3 0.000 0.180 0.320  5.60
Pu4 0.000 0.820 0.680  5.60
In1 0.500 0.189 0.050  0.00
In2 0.500 0.811 0.950  0.00
In3 0.500 0.050 0.811  0.00
In4 0.500 0.689 0.450  0.00
In5 0.500 0.950 0.189  0.00
In6 0.500 0.311 0.550  0.00
In7 0.500 0.550 0.689  0.00
In8 0.500 0.450 0.311  0.00
In9 0.500 0.500 0.000  0.02
In10 0.500 0.000 0.500  0.02
Pd1 0.000 0.136 0.636  0.02
Pd2 0.000 0.864 0.364  0.02
Pd3 0.000 0.636 0.864  0.02
Pd4 0.000 0.364 0.136  0.02
Rh1 0.000 0.000 0.000  0.08
Rh2 0.000 0.500 0.500  0.08

Summary:
Formation energy in eV per atom: -0.33
Volume in A^3/atom: 21.51
Space group: No. 127



12.
Li3La2AlNi12 | GGA-PBE | relaxed

Cell: 9.257 9.257 9.257 Å, 37.80 37.80 37.80°
Sites, in units of the cell vectors:
Li1 0.500 0.000 0.000
Li2 0.000 0.500 0.000
Li3 0.000 0.000 0.500
La1 0.653 0.653 0.653
La2 0.347 0.347 0.347
Al1 0.000 0.000 0.000
Ni1 0.421 0.421 0.811
Ni2 0.934 0.934 0.349
Ni3 0.349 0.934 0.934
Ni4 0.811 0.421 0.421
Ni5 0.934 0.349 0.934
Ni6 0.421 0.811 0.421
Ni7 0.579 0.579 0.189
Ni8 0.066 0.066 0.651
Ni9 0.651 0.066 0.066
Ni10 0.189 0.579 0.579
Ni11 0.066 0.651 0.066
Ni12 0.579 0.189 0.579

Summary:
Formation energy in eV per atom: 0.09
Volume in A^3/atom: 14.86
Space group: No. 166



13.
Dy3Ga | GGA-PBE | relaxed

Cell: 4.721 4.721 4.721 Å, 90.00 90.00 90.00°
Sites, in units of the cell vectors:
Ga1 0.000 0.000 0.000
Dy1 0.500 0.500 0.000
Dy2 0.000 0.500 0.500
Dy3 0.500 0.000 0.500

Summary:
Formation energy in eV per atom: -0.24
Volume in A^3/atom: 26.30
Space group: No. 221



14.
Al2PtBr | GGA-PBE | relaxed

Cell: 3.182 3.182 7.348 Å, 90.00 90.00 90.10°
Sites, in units of the cell vectors:
Br1 0.500 0.500 0.250
Pt1 0.500 0.500 0.750
Al1 0.000 0.000 0.950
Al2 0.000 0.000 0.550

Summary:
Volume in A^3/atom: 18.60
Space group: No. 65
Final energy in eV per atom: -4.1220



15.
InPbS | GGA-PBE | relaxed

Cell: 5.016 5.016 8.864 Å, 73.56 73.56 60.00°
Sites, in units of the cell vectors:
Pb1 0.601 0.601 0.196
Pb2 0.399 0.399 0.804
S1 0.284 0.284 0.149
S2 0.716 0.716 0.851
In1 0.826 0.826 0.522
In2 0.174 0.174 0.478

Summary:
Volume in A^3/atom: 30.42
Space group: No. 166
Final energy in eV per atom: -3.7452



16.
ZrNbCd2F | GGA-PBE | relaxed

Cell: 5.690 4.903 5.690 Å, 90.00 90.00 90.00°
Last column: magnetic moment on the atom in μB.
Sites, in units of the cell vectors:
Nb1 0.000 0.500 0.000  0.68
F1 0.500 0.500 0.500  0.04
Zr1 0.000 0.000 0.000  0.10
Cd1 0.000 0.000 0.500  0.00
Cd2 0.500 0.000 0.000  0.00

Summary:
Volume in A^3/atom: 31.75
Space group: No. 123
Final energy in eV per atom: -3.5818



17.
Pa2Co3B12Ru | GGA-PBE | relaxed

Cell: 8.158 8.158 8.158 Å, 38.56 38.56 38.56°
Last column: magnetic moment on the atom in μB.
Sites, in units of the cell vectors:
Pa1 0.641 0.641 0.641  0.02
Pa2 0.359 0.359 0.359  0.02
Co1 0.500 0.000 0.000  0.71
Co2 0.000 0.500 0.000  0.71
Co3 0.000 0.000 0.500  0.71
B1 0.345 0.345 0.021  -0.01
B2 0.949 0.949 0.331  0.00
B3 0.331 0.949 0.949  0.00
B4 0.021 0.345 0.345  -0.01
B5 0.949 0.331 0.949  0.00
B6 0.345 0.021 0.345  -0.01
B7 0.655 0.655 0.979  -0.01
B8 0.051 0.051 0.669  0.00
B9 0.669 0.051 0.051  0.00
B10 0.979 0.655 0.655  -0.01
B11 0.051 0.669 0.051  0.00
B12 0.655 0.979 0.655  -0.01
Ru1 0.000 0.000 0.000  0.06

Summary:
Formation energy in eV per atom: 0.01
Volume in A^3/atom: 10.53
Space group: No. 166



18.
Sc2AuCl | GGA-PBE | relaxed

Cell: 4.977 4.977 4.977 Å, 60.00 60.00 60.00°
Last column: magnetic moment on the atom in μB.
Sites, in units of the cell vectors:
Au1 0.500 0.500 0.500  0.03
Cl1 0.750 0.750 0.750  0.02
Sc1 0.000 0.000 0.000  0.90
Sc2 0.250 0.250 0.250  0.84

Summary:
Volume in A^3/atom: 21.79
Space group: No. 216
Final energy in eV per atom: -4.4459



19.
AgBPt3 | GGA-PBE | relaxed

Cell: 4.712 4.712 10.593 Å, 77.15 77.15 90.00°
Sites, in units of the cell vectors:
B1 0.626 0.126 0.748
B2 0.874 0.374 0.252
Ag1 0.000 0.000 0.000
Ag2 0.250 0.750 0.500
Pt1 0.628 0.875 0.251
Pt2 0.125 0.372 0.749
Pt3 0.125 0.879 0.749
Pt4 0.121 0.875 0.251
Pt5 0.371 0.371 0.257
Pt6 0.629 0.629 0.743

Summary:
Formation energy in eV per atom: 0.78
Volume in A^3/atom: 22.33
Space group: No. 119



20.
Lu2BeAu | GGA-PBE | relaxed

Cell: 3.468 3.468 6.727 Å, 90.00 90.00 90.00°
Sites, in units of the cell vectors:
Be1 0.500 0.500 0.000
Lu1 0.000 0.000 0.761
Lu2 0.000 0.000 0.239
Au1 0.500 0.500 0.500

Summary:
Formation energy in eV per atom: -0.42
Volume in A^3/atom: 20.23
Space group: No. 123



21.
Hf2Np3TaN6 | GGA-PBE | relaxed

Cell: 5.636 5.636 5.865 Å, 99.22 99.22 119.98°
Last column: magnetic moment on the atom in μB.
Sites, in units of the cell vectors:
Hf1 0.333 0.667 0.000  0.00
Hf2 0.667 0.333 0.000  0.00
Np1 0.167 0.833 0.500  3.15
Np2 0.833 0.167 0.500  3.15
Np3 0.500 0.500 0.500  3.14
Ta1 0.000 0.000 0.000  -0.07
N1 0.926 0.596 0.779  -0.05
N2 0.744 0.744 0.221  -0.05
N3 0.074 0.404 0.221  -0.05
N4 0.596 0.926 0.779  -0.05
N5 0.256 0.256 0.779  -0.05
N6 0.404 0.074 0.221  -0.05

Summary:
Volume in A^3/atom: 12.74
Space group: No. 12
Final energy in eV per atom: -11.4249



22.
CdPtSe2 | GGA-PBE | relaxed

Cell: 4.795 4.795 4.795 Å, 60.00 60.00 60.00°
Sites, in units of the cell vectors:
Cd1 0.500 0.500 0.500
Pt1 0.250 0.250 0.250
Se1 0.000 0.000 0.000
Se2 0.750 0.750 0.750

Summary:
Volume in A^3/atom: 19.49
Space group: No. 216
Final energy in eV per atom: -3.1505



23.
Ho5Th3Sb8 | GGA-PBE | relaxed

Cell: 8.857 8.857 8.832 Å, 59.91 59.91 60.00°
Sites, in units of the cell vectors:
Ho1 0.500 0.000 0.000
Ho2 0.500 0.500 0.000
Ho3 0.000 0.000 0.000
Ho4 0.000 0.500 0.000
Ho5 0.500 0.500 0.500
Th1 0.500 0.000 0.500
Th2 0.000 0.000 0.500
Th3 0.000 0.500 0.500
Sb1 0.250 0.250 0.757
Sb2 0.250 0.743 0.757
Sb3 0.743 0.250 0.757
Sb4 0.746 0.746 0.761
Sb5 0.750 0.750 0.243
Sb6 0.750 0.257 0.243
Sb7 0.257 0.750 0.243
Sb8 0.254 0.254 0.239

Summary:
Volume in A^3/atom: 30.57
Space group: No. 166
Final energy in eV per atom: -5.9232